Computed, not measured: a geometry-optimized CsGaTe4 structure at the PBE level of DFT.

Structure (CIF):
```
data_CsGaTe4
_space_group_name_H-M_alt 'C 1 2/c 1'
_space_group_IT_number 15
_space_group_name_Hall '-C 2yc'
_cell_length_a 11.344
_cell_length_b 16.138
_cell_length_c 7.593
_cell_angle_alpha 90.00
_cell_angle_beta 126.92
_cell_angle_gamma 90.00
loop_
_atom_site_label
_atom_site_fract_x
_atom_site_fract_y
_atom_site_fract_z
Cs1 0.000 0.116 0.250
Ga1 0.000 0.242 0.750
Te1 0.062 0.338 0.080
Te2 0.190 0.115 0.893
```

Values from the calculation:
Energy above the most stable polymorph in this dataset ... 0.000 eV per atom
Formation energy (no corrections) ... -0.4185 eV per atom